CdReRh2 after structural relaxation, computed with PBE-GGA.

Summary:
Volume (Å³/cell): 63
Density of states at the Fermi level (states/eV/cell): 3.472
Calculated total energy (Ry/atom): -0.4820

Cell: 2.8155 4.6404 4.8353 Å, 90.00 90.00 90.00°
Fractional positions:
Cd (0.0000, 0.0000, 0.0000)
Re (0.5000, 0.0000, 0.5000)
Rh (0.0000, 0.5000, 0.5000)
Rh (0.5000, 0.5000, 0.0000)